Entry 1:
PBE NdSiNO, relaxed; distance to the lowest polymorph of the same formula = 51 kJ/mol of formula units
1.0
6.736 0.000 0.000
0.000 6.719 0.000
0.000 0.000 5.297
N Nd O Si
4 4 4 4
Direct
0.412 0.352 0.002
0.912 0.648 0.002
0.088 0.352 0.502
0.588 0.648 0.502
0.443 0.321 0.484
0.943 0.679 0.484
0.057 0.321 0.984
0.557 0.679 0.984
0.008 0.004 0.233
0.508 0.996 0.233
0.492 0.004 0.733
0.992 0.996 0.733
0.913 0.161 0.484
0.413 0.839 0.484
0.587 0.161 0.984
0.087 0.839 0.984

=====

Entry 2:
PBE Mo2AuC, relaxed; DFT total energy = -204.08 eV for the cell shown
1.0
-3.912 -3.577 -0.950
0.045 -4.769 2.501
-6.016 8.058 9.684
Au C Mo
6 6 12
Direct
0.585 0.748 0.250
0.919 0.081 0.250
0.252 0.415 0.250
0.748 0.585 0.750
0.081 0.919 0.750
0.415 0.252 0.750
0.500 0.000 0.000
0.833 0.333 0.000
0.667 0.167 0.500
0.000 0.500 0.500
0.333 0.833 0.500
0.167 0.667 0.000
0.194 0.027 0.081
0.861 0.693 0.081
0.527 0.360 0.081
0.640 0.473 0.419
0.307 0.139 0.419
0.973 0.806 0.419
0.027 0.194 0.581
0.693 0.861 0.581
0.360 0.527 0.581
0.473 0.640 0.919
0.139 0.307 0.919
0.806 0.973 0.919

=====

Entry 3:
PBE Zr, relaxed; calculated formation energy = 0.056 eV per atom; distance to the lowest polymorph of the same formula = 5 kJ/mol of formula units
1.0
-1.147 -0.319 -3.018
-1.920 -0.625 2.539
-1.742 4.693 1.910
Zr
2
Direct
0.750 0.250 0.250
0.250 0.750 0.750

=====

Entry 4:
PBE NaTcO3, relaxed; DFT total energy = -30.65 eV for the cell shown
1.0
-2.615 0.677 -1.743
-1.784 -1.800 1.978
-0.996 4.588 3.277
Na O Tc
1 3 1
Direct
0.500 0.500 0.455
0.500 0.500 0.085
0.500 0.000 0.726
0.000 0.500 0.726
0.000 0.000 0.909

=====

Entry 5:
PBE Li2NbZnGa2Ir2, relaxed; DFT total energy = -42.73 eV for the cell shown
1.0
-0.222 4.170 1.178
-0.679 -1.198 4.115
6.019 0.037 1.003
Ga Ir Li Nb Zn
2 2 2 1 1
Direct
0.500 0.500 0.000
0.000 0.000 0.500
0.500 0.000 0.239
0.000 0.500 0.761
0.000 0.500 0.279
0.500 0.000 0.721
0.000 0.000 0.000
0.500 0.500 0.500

=====

Entry 6:
PBE BeCdGe, relaxed; DFT total energy = -7.46 eV for the cell shown
1.0
0.000 3.060 3.060
3.060 0.000 3.060
3.060 3.060 0.000
Be Cd Ge
1 1 1
Direct
0.250 0.250 0.250
0.000 0.000 0.000
0.750 0.750 0.750